VASP calculation (PBE-GGA) on NaCaSi2 after structural relaxation.

```
NaCaSi2
1.0
6.5062 0.0000 0.0000
0.0000 4.4782 0.0000
0.0000 0.0000 13.2387
Na Ca Si
4 4 8
Direct
0.2495 0.2500 0.0251
0.2505 0.7500 0.5251
0.7495 0.2500 0.4749
0.7505 0.7500 0.9749
0.2482 0.2500 0.3066
0.2518 0.7500 0.8066
0.7482 0.2500 0.1934
0.7518 0.7500 0.6934
0.0659 0.7500 0.1652
0.0695 0.2500 0.6652
0.4305 0.7500 0.1652
0.4341 0.2500 0.6652
0.5659 0.7500 0.3348
0.5695 0.2500 0.8348
0.9305 0.7500 0.3348
0.9341 0.2500 0.8348
```

## Properties
Total energy, eV per cell: -60.931
ΔE to the lowest computed polymorph, meV/atom: 0.0
SG: Pnma (62)
Mass density, g/cm3: 2.05
Uncorrected formation energy, eV per atom: -0.267